Entry 1:
VASP calculation (PBE-GGA) on ErInSe3 after structural relaxation.

Geometry as POSCAR:
```
ErInSe3
1.0
4.171 0.000 0.000
0.000 6.554 -1.882
0.000 -0.081 12.071
Er In Se
2 2 6
Cartesian
1.043 0.282 7.747
3.128 2.602 3.473
1.043 5.135 1.555
3.128 3.447 8.029
3.128 5.966 7.533
3.128 3.709 0.801
3.128 1.521 6.140
1.043 2.638 9.424
1.043 0.979 2.520
1.043 4.505 4.178
```

Results
E_form (uncorrected) in kJ/mol of formula units: -572.4
V in Å³/atom: 32.935
Magnetization in μB per cell: 0.0
Relative energy among the computed polymorphs in eV per formula unit: 0.00

Entry 2:
VASP calculation (PBE-GGA) on SmEr2In3Se6 after structural relaxation.

Geometry as POSCAR:
```
SmEr2In3Se6
1.0
-4.932 -5.242 -0.086
2.554 2.433 6.274
-4.847 6.237 -1.822
Sm Er In Se
1 2 3 6
Cartesian
0.000 0.000 0.000
0.060 -0.124 4.155
-2.437 -2.684 2.033
-1.103 4.287 4.315
-6.122 -0.858 0.051
-3.612 1.714 2.183
-6.916 1.490 2.177
-2.734 -0.754 4.128
-0.309 1.939 2.189
-4.363 4.107 4.345
-4.490 4.182 0.238
-2.861 -0.678 0.021
```

Results
E_form (uncorrected) in kJ/mol of formula units: -1498.0
V in Å³/atom: 28.958
Magnetization in μB per cell: 0.0

Entry 3:
VASP calculation (PBE-GGA) on Tb2ErIn3Se6 after structural relaxation.

Geometry as POSCAR:
```
Tb2ErIn3Se6
1.0
-1.591 -7.009 0.057
4.606 2.600 -4.867
4.874 0.175 6.475
Tb Er In Se
2 1 3 6
Cartesian
2.540 -0.604 -3.225
0.475 -3.805 -1.584
0.000 0.000 0.000
6.005 1.077 -0.804
1.885 -5.311 2.470
3.945 -2.117 0.833
5.147 -4.823 2.260
3.248 -3.224 -2.204
2.742 0.589 -0.594
7.193 -1.652 0.634
4.641 -1.010 3.870
0.697 -2.583 1.031
```

Results
E_form (uncorrected) in kJ/mol of formula units: -1505.7
V in Å³/atom: 28.875
Magnetization in μB per cell: 0.0

Entry 4:
VASP calculation (PBE-GGA) on TbEr2In3Se6 after structural relaxation.

Geometry as POSCAR:
```
TbEr2In3Se6
1.0
-1.981 3.604 5.859
-4.896 -1.876 -4.874
1.145 -7.270 3.400
Tb Er In Se
1 2 3 6
Cartesian
0.000 0.000 0.000
-3.924 -0.050 -1.297
-2.953 1.777 2.282
-3.840 -4.602 -1.394
-1.892 -0.940 5.779
-2.866 -2.771 2.193
-3.846 -3.521 5.252
-4.799 -0.237 1.424
-1.886 -2.021 -0.867
-4.827 -5.366 1.639
-0.932 -5.305 2.962
-0.905 -0.176 2.746
```

Results
E_form (uncorrected) in kJ/mol of formula units: -1502.2
V in Å³/atom: 28.653
Magnetization in μB per cell: 0.0

Which value of magnetization does entry 3 give? 0.0 μB per cell

Which value of V does entry 3 give? 28.875 Å³/atom